Below is a relaxed VSiS3 crystal, with properties calculated at the GGA-PBE level.

The space group is Pm-3m (No. 221) and the conventional cell measures 4.582, 4.582 and 4.582 Å, with angles of 90.00, 90.00 and 90.00 degrees. The inequivalent atoms are V at (0.000, 0.000, 0.000), Si at (0.500, 0.500, 0.500) and S at (0.000, 0.000, 0.500).

For the offset from the most stable computed form, the calculation gives 611 meV/atom. The volume is 19.24 A^3/atom. Its total moment is 0.97 μB/f.u. For the uncorrected formation energy, the calculation gives 0.147 eV per atom.


Below is a relaxed ErMgSn4 crystal, with properties calculated at the GGA-PBE level.

The space group is P4/mmm (No. 123) and the conventional cell measures 4.078, 4.078 and 9.324 Å, with angles of 90.00, 90.00 and 90.00 degrees. The inequivalent atoms are Er at (0.000, 0.000, 0.000), Mg at (0.500, 0.500, 0.500), Sn at (0.000, 0.000, 0.337) and Sn at (0.500, 0.500, 0.171).

The volume is 25.84 A^3/atom. Its total moment is 0.00 μB/f.u. The calculated formation energy is -0.220 eV/atom.


Below is a relaxed W4AuSe crystal, with properties calculated at the GGA-PBE level.

The space group is F-43m (No. 216) and the conventional cell measures 7.560, 7.560 and 7.560 Å, with angles of 90.00, 90.00 and 90.00 degrees. The inequivalent atoms are W at (0.124, 0.124, 0.376), Au at (0.250, 0.250, 0.750) and Se at (0.000, 0.000, 0.000).

The volume is 18.00 A^3/atom. Its total moment is 0.00 μB/f.u. For the uncorrected formation energy, the calculation gives 0.875 eV per atom.